# VSe2O8

Crystalline VSe2O8 at its relaxed geometry (PBE with a Hubbard U, Alexandria).

Lattice parameters (Å, degrees): 7.7815 7.7815 9.4087 122.05 122.05 57.58
Closest atoms and distances in Å follow each position.
Positions (direct):
1 V 0.0217 0.9783 0.7500  6 O 1.95-2.00
2 V 0.9783 0.0217 0.2500  6 O 1.95-2.00
3 Se 0.1588 0.6783 0.4603  4 O 1.61-1.73
4 Se 0.3217 0.8412 0.0397  4 O 1.61-1.73
5 Se 0.6783 0.1588 0.9603  4 O 1.61-1.73
6 Se 0.8412 0.3217 0.5397  4 O 1.61-1.73
7 O 0.0708 0.2279 0.4935  1 Se 1.73
8 O 0.0968 0.7541 0.2944  1 Se 1.70
9 O 0.1457 0.7341 0.8352  1 Se 1.73
10 O 0.2279 0.0708 0.9935  1 Se 1.73
11 O 0.2459 0.9032 0.2056  1 Se 1.70
12 O 0.2659 0.8543 0.6648  1 Se 1.73
13 O 0.2971 0.4228 0.4181  1 Se 1.61
14 O 0.4228 0.2971 0.9181  1 Se 1.61
15 O 0.5772 0.7029 0.0819  1 Se 1.61
16 O 0.7029 0.5772 0.5819  1 Se 1.61
17 O 0.7341 0.1457 0.3352  1 Se 1.73
18 O 0.7541 0.0968 0.7944  1 Se 1.70
19 O 0.7721 0.9292 0.0065  1 Se 1.73
20 O 0.8543 0.2659 0.1648  1 Se 1.73
21 O 0.9032 0.2459 0.7056  1 Se 1.70
22 O 0.9292 0.7721 0.5065  1 Se 1.73

Calculated values
**Final energy**: -0.21108 hartree per atom
**Symmetry**: C2/c, No. 15
**D(E_F)**: 0.00 states/eV/f.u.
**Calculated density**: 2.92 g cm⁻³